Below is a relaxed BaNiBr2 crystal, with properties calculated at the PBE-GGA level.

a b c (Å): 4.3157 4.3157 23.3833
angles (deg): 90.00 90.00 120.00
Space group R3m (No. 160, hexagonal axes)
Asymmetric unit:
Ba 0.0000 0.0000 0.0000 (multiplicity 3)
Ni 0.0000 0.0000 0.7567 (multiplicity 3)
Br 0.0000 0.0000 0.2482 (multiplicity 3)
Br 0.0000 0.0000 0.4323 (multiplicity 3)

- Offset from the most stable computed form: 0.133 eV/atom
- V: 31.43 A^3/atom
- DFT total energy: -3.670 eV per atom